[1]
VASP calculation (GGA-PBE) on a geometry-optimized KNaSrTl structure.

abc: 8.6177 8.6177 8.6177
angles: 90.00 90.00 90.00
Closest atoms and distances in Å follow each position.
Space group F-43m (No. 216)
One atom of each set of equivalent atoms:
K 0.0000 0.0000 0.0000 x4  4 Na 3.73, 4 Tl 3.73
Na 0.2500 0.2500 0.2500 x4  4 K 3.73, 4 Sr 3.73
Sr 0.0000 0.0000 0.5000 x4  4 Tl 3.73, 4 Na 3.73
Tl 0.2500 0.2500 0.7500 x4  4 K 3.73, 4 Sr 3.73

Computed properties:
Energy of formation from the pure elements (kJ/mol of atoms): -4

[2]
VASP calculation (GGA-PBE) on a geometry-optimized KNa2SrTl structure.

abc: 6.2181 6.2181 6.3964
angles: 90.00 90.00 90.00
Closest atoms and distances in Å follow each position.
Space group P4/mmm (No. 123)
One atom of each set of equivalent atoms:
K 0.0000 0.0000 0.0000 x1  4 Sr 4.40, 8 Na 4.46
Na 0.0000 0.5000 0.5000 x2  2 Tl 3.11
Sr 0.5000 0.5000 0.0000 x1  2 Tl 3.20
Tl 0.5000 0.5000 0.5000 x1  4 Na 3.11, 2 Sr 3.20

Computed properties:
Energy of formation from the pure elements (kJ/mol of atoms): 2

[3]
VASP calculation (GGA-PBE) on a geometry-optimized KNaSr2Zn structure.

abc: 6.2587 6.2587 6.4959
angles: 90.00 90.00 90.00
Closest atoms and distances in Å follow each position.
Space group P4/mmm (No. 123)
One atom of each set of equivalent atoms:
K 0.0000 0.0000 0.0000 x1  2 Zn 3.25
Na 0.5000 0.5000 0.0000 x1  4 K 4.43, 8 Sr 4.51
Sr 0.0000 0.5000 0.5000 x2  2 Zn 3.13
Zn 0.0000 0.0000 0.5000 x1  4 Sr 3.13, 2 K 3.25

Computed properties:
Energy relative to the lowest polymorph listed for this composition (meV per atom): 30
Energy of formation from the pure elements (kJ/mol of atoms): 8

[4]
VASP calculation (GGA-PBE) on a geometry-optimized KNaSr2Zn structure.

abc: 6.3171 6.3171 6.0473
angles: 90.00 90.00 90.00
Closest atoms and distances in Å follow each position.
Space group P4/mmm (No. 123)
One atom of each set of equivalent atoms:
K 0.0000 0.0000 0.0000 x1  8 Sr 4.37, 4 Na 4.47
Na 0.5000 0.5000 0.0000 x1  2 Zn 3.02
Sr 0.0000 0.5000 0.5000 x2  2 Zn 3.16
Zn 0.5000 0.5000 0.5000 x1  2 Na 3.02, 4 Sr 3.16

Computed properties:
Energy relative to the lowest polymorph listed for this composition (meV per atom): 0
Energy of formation from the pure elements (kJ/mol of atoms): 5

[5]
VASP calculation (GGA-PBE) on a geometry-optimized KNaTa2 structure.

abc: 9.0864 9.0864 5.1945
angles: 90.00 90.00 90.00
Closest atoms and distances in Å follow each position.
Space group I-42d (No. 122)
One atom of each set of equivalent atoms:
K 0.0000 0.0000 0.0000 x4  2 Na 2.60
Na 0.0000 0.0000 0.5000 x4  2 K 2.60
Ta 0.2363 0.7500 0.6250 x8  2 Ta 2.61

Computed properties:
Energy relative to the lowest polymorph listed for this composition (meV per atom): 0
Energy of formation from the pure elements (kJ/mol of atoms): 185

[6]
VASP calculation (GGA-PBE) on a geometry-optimized K2NaTa structure.

abc: 9.7519 9.7519 7.0184
angles: 90.00 90.00 90.00
Closest atoms and distances in Å follow each position.
Space group I-42d (No. 122)
One atom of each set of equivalent atoms:
K 0.2437 0.2500 0.1250 x8  2 K 3.51, 2 Na 3.52, 2 Ta 3.60
Na 0.0000 0.0000 0.0000 x4  2 Ta 3.51, 4 K 3.52
Ta 0.0000 0.0000 0.5000 x4  2 Na 3.51, 4 K 3.60

Computed properties:
Energy relative to the lowest polymorph listed for this composition (meV per atom): 92
Energy of formation from the pure elements (kJ/mol of atoms): 144

[7]
VASP calculation (GGA-PBE) on a geometry-optimized K2NaTa structure.

abc: 8.6956 8.6956 8.6956
angles: 90.00 90.00 90.00
Closest atoms and distances in Å follow each position.
Space group Fm-3m (No. 225)
One atom of each set of equivalent atoms:
K 0.2500 0.2500 0.2500 x8  4 Ta 3.77, 4 Na 3.77
Na 0.0000 0.0000 0.0000 x4  8 K 3.77
Ta 0.0000 0.0000 0.5000 x4  8 K 3.77

Computed properties:
Energy relative to the lowest polymorph listed for this composition (meV per atom): 0
Energy of formation from the pure elements (kJ/mol of atoms): 135

[8]
VASP calculation (GGA-PBE) on a geometry-optimized KNaTa2 structure.

abc: 7.2141 7.2141 7.2141
angles: 90.00 90.00 90.00
Closest atoms and distances in Å follow each position.
Space group Fm-3m (No. 225)
One atom of each set of equivalent atoms:
K 0.0000 0.0000 0.0000 x4  8 Ta 3.12
Na 0.0000 0.0000 0.5000 x4  8 Ta 3.12
Ta 0.2500 0.2500 0.2500 x8  4 Na 3.12, 4 K 3.12

Computed properties:
Energy relative to the lowest polymorph listed for this composition (meV per atom): 336
Energy of formation from the pure elements (kJ/mol of atoms): 217

[9]
VASP calculation (GGA-PBE) on a geometry-optimized KNa2Tb structure.

abc: 3.6239 3.6239 42.8504
angles: 90.00 90.00 120.00
Closest atoms and distances in Å follow each position.
Space group R-3m (No. 166, hexagonal axes)
One atom of each set of equivalent atoms:
K 0.0000 0.0000 0.0000 x3  6 K 3.62
Na 0.0000 0.0000 0.4198 x6  1 Tb 3.44, 6 Na 3.62
Tb 0.0000 0.0000 0.5000 x3  2 Na 3.44, 6 Tb 3.62

Computed properties:
Energy of formation from the pure elements (kJ/mol of atoms): 31

[10]
VASP calculation (GGA-PBE) on a geometry-optimized KNa3Tc structure.

abc: 5.9976 5.9976 5.9976
angles: 90.00 90.00 90.00
Closest atoms and distances in Å follow each position.
Space group Pm-3m (No. 221)
One atom of each set of equivalent atoms:
K 0.0000 0.0000 0.0000 x1  12 Na 4.24
Na 0.0000 0.5000 0.5000 x3  2 Tc 3.00
Tc 0.5000 0.5000 0.5000 x1  6 Na 3.00

Computed properties:
Energy relative to the lowest polymorph listed for this composition (meV per atom): 0
Energy of formation from the pure elements (kJ/mol of atoms): 92

[11]
VASP calculation (GGA-PBE) on a geometry-optimized KNa3Tc structure.

abc: 5.8730 5.8730 5.8730
angles: 90.00 90.00 90.00
Closest atoms and distances in Å follow each position.
Space group Pm-3m (No. 221)
One atom of each set of equivalent atoms:
K 0.0000 0.0000 0.0000 x1  6 Na 2.94
Na 0.0000 0.0000 0.5000 x3  2 K 2.94
Tc 0.5000 0.5000 0.5000 x1  12 Na 4.15

Computed properties:
Energy relative to the lowest polymorph listed for this composition (meV per atom): 490
Energy of formation from the pure elements (kJ/mol of atoms): 139

[12]
VASP calculation (GGA-PBE) on a geometry-optimized K2NaTc structure.

abc: 5.0434 5.0434 25.0328
angles: 90.00 90.00 90.00
Closest atoms and distances in Å follow each position.
Space group I-42d (No. 122)
One atom of each set of equivalent atoms:
K 0.2402 0.2500 0.1250 x8  4 K 3.50-3.64, 2 Tc 3.58, 2 Na 3.62
Na 0.0000 0.0000 0.5000 x4  4 Tc 3.57, 4 K 3.62
Tc 0.0000 0.0000 0.0000 x4  4 Na 3.57, 4 K 3.58

Computed properties:
Energy relative to the lowest polymorph listed for this composition (meV per atom): 122
Energy of formation from the pure elements (kJ/mol of atoms): 124

[13]
VASP calculation (GGA-PBE) on a geometry-optimized K2NaTc structure.

abc: 8.5308 8.5308 8.5308
angles: 90.00 90.00 90.00
Closest atoms and distances in Å follow each position.
Space group Fm-3m (No. 225)
One atom of each set of equivalent atoms:
K 0.2500 0.2500 0.2500 x8  4 Na 3.69, 4 Tc 3.69
Na 0.0000 0.0000 0.0000 x4  8 K 3.69
Tc 0.0000 0.0000 0.5000 x4  8 K 3.69

Computed properties:
Energy relative to the lowest polymorph listed for this composition (meV per atom): 0
Energy of formation from the pure elements (kJ/mol of atoms): 113

[14]
VASP calculation (GGA-PBE) on a geometry-optimized KNa2Te2 structure.

abc: 5.0726 5.0726 13.8462
angles: 90.00 90.00 90.00
Closest atoms and distances in Å follow each position.
Space group I4/mmm (No. 139)
One atom of each set of equivalent atoms:
K 0.0000 0.0000 0.0000 x2  8 Te 3.94, 8 Na 4.29
Na 0.0000 0.5000 0.2500 x4  4 Te 3.12
Te 0.0000 0.0000 0.3815 x4  4 Na 3.12, 1 Te 3.28

Computed properties:
ΔE_f (raw) (meV per atom): -765

[15]
VASP calculation (GGA-PBE) on a geometry-optimized K4Na2Te structure.

abc: 6.6900 6.6900 19.8291
angles: 90.00 90.00 90.00
Closest atoms and distances in Å follow each position.
Space group I4/mmm (No. 139)
One atom of each set of equivalent atoms:
K 0.0000 0.0000 0.1708 x4  1 Te 3.39
K 0.0000 0.5000 0.0000 x4  2 Te 3.34
Na 0.0000 0.0000 0.3668 x4  5 K 3.89-4.26
Te 0.0000 0.0000 0.0000 x2  6 K 3.34-3.39

Computed properties:
ΔE_f (raw) (meV per atom): -304

[16]
VASP calculation (GGA-PBE) on a geometry-optimized KNaTe2 structure.

abc: 3.6078 3.6078 9.5397
angles: 90.00 90.00 90.00
Closest atoms and distances in Å follow each position.
Space group P4/mmm (No. 123)
One atom of each set of equivalent atoms:
K 0.0000 0.0000 0.0000 x1  4 K 3.61, 8 Te 3.61
Na 0.0000 0.0000 0.5000 x1  8 Te 3.38, 4 Na 3.61
Te 0.5000 0.5000 0.2680 x2  4 Na 3.38, 4 Te 3.61, 4 K 3.61

Computed properties:
ΔE_f (raw) (meV per atom): -653
Energy relative to the lowest polymorph listed for this composition (meV per atom): 64

[17]
VASP calculation (GGA-PBE) on a geometry-optimized K2Na2Te structure.

abc: 8.8092 8.8092 6.3448
angles: 90.00 90.00 90.00
Closest atoms and distances in Å follow each position.
Space group P4/mbm (No. 127)
One atom of each set of equivalent atoms:
K 0.1591 0.3409 0.0000 x4  2 Te 3.31
Na 0.1483 0.6483 0.5000 x4  1 Na 3.70, 2 K 3.98
Te 0.0000 0.0000 0.0000 x2  4 K 3.31

Computed properties:
ΔE_f (raw) (meV per atom): -310
Energy relative to the lowest polymorph listed for this composition (meV per atom): 102

[18]
VASP calculation (GGA-PBE) on a geometry-optimized K3NaTe structure.

abc: 6.7401 6.7401 6.7401
angles: 90.00 90.00 90.00
Closest atoms and distances in Å follow each position.
Space group Pm-3m (No. 221)
One atom of each set of equivalent atoms:
K 0.0000 0.0000 0.5000 x3  2 Te 3.37
Na 0.5000 0.5000 0.5000 x1  12 K 4.77
Te 0.0000 0.0000 0.0000 x1  6 K 3.37

Computed properties:
ΔE_f (raw) (meV per atom): -503
Energy relative to the lowest polymorph listed for this composition (meV per atom): 0

[19]
VASP calculation (GGA-PBE) on a geometry-optimized KNaTe2 structure.

abc: 5.9502 5.9502 20.2140
angles: 90.00 90.00 90.00
Closest atoms and distances in Å follow each position.
Space group I-42d (No. 122)
One atom of each set of equivalent atoms:
K 0.0000 0.0000 0.0000 x4  4 Te 3.88, 4 Na 4.21
Na 0.0000 0.0000 0.5000 x4  4 Te 2.97
Te 0.0740 0.2500 0.6250 x8  2 Na 2.97, 2 Te 3.10

Computed properties:
ΔE_f (raw) (meV per atom): -662
Energy relative to the lowest polymorph listed for this composition (meV per atom): 55

[20]
VASP calculation (GGA-PBE) on a geometry-optimized KNaTe2 structure.

abc: 3.9055 3.9055 33.3960
angles: 90.00 90.00 120.00
Closest atoms and distances in Å follow each position.
Space group R-3m (No. 166, hexagonal axes)
One atom of each set of equivalent atoms:
K 0.0000 0.0000 0.0000 x3  6 Te 3.50, 6 K 3.91
Na 0.0000 0.0000 0.5000 x3  2 Te 2.89
Te 0.0000 0.0000 0.4135 x6  1 Na 2.89

Computed properties:
ΔE_f (raw) (meV per atom): -332
Energy relative to the lowest polymorph listed for this composition (meV per atom): 385

[21]
VASP calculation (GGA-PBE) on a geometry-optimized KNa2Te structure.

abc: 5.1355 5.1355 22.9041
angles: 90.00 90.00 90.00
Closest atoms and distances in Å follow each position.
Space group I-42d (No. 122)
One atom of each set of equivalent atoms:
K 0.0000 0.0000 0.0000 x4  4 Na 3.52, 4 Te 3.63
Na 0.1908 0.2500 0.6250 x8  2 Na 3.23, 2 Te 3.29, 2 K 3.52
Te 0.0000 0.0000 0.5000 x4  4 Na 3.29, 4 K 3.63

Computed properties:
ΔE_f (raw) (meV per atom): -457

[22]
VASP calculation (GGA-PBE) on a geometry-optimized K2Na2Te structure.

abc: 8.3213 8.3213 5.9400
angles: 90.00 90.00 90.00
Closest atoms and distances in Å follow each position.
Space group P4/mbm (No. 127)
One atom of each set of equivalent atoms:
K 0.1921 0.3079 0.0000 x4  2 Na 3.55
Na 0.1423 0.6423 0.5000 x4  2 Te 3.20, 1 Na 3.35, 2 K 3.55
Te 0.0000 0.0000 0.5000 x2  4 Na 3.20

Computed properties:
ΔE_f (raw) (meV per atom): -412
Energy relative to the lowest polymorph listed for this composition (meV per atom): 0

[23]
VASP calculation (GGA-PBE) on a geometry-optimized KNa2Te3 structure.

abc: 6.8562 12.7052 10.0932
angles: 90.00 109.64 90.00
Closest atoms and distances in Å follow each position.
Space group C2/c (No. 15)
One atom of each set of equivalent atoms:
K 0.0000 0.1794 0.2500 x4  4 Te 3.40-3.76, 1 Na 3.79
Na 0.0000 0.1732 0.7500 x4  4 Te 3.04-3.35
Na 0.0000 0.4774 0.2500 x4  4 Te 3.07-3.20
Te 0.0000 0.0000 0.0000 x4  2 Te 3.13, 2 Na 3.35, 2 K 3.40
Te 0.1124 0.3687 0.9990 x8  3 Na 3.04-3.20, 1 Te 3.13

Computed properties:
ΔE_f (raw) (meV per atom): -665

[24]
VASP calculation (GGA-PBE) on a geometry-optimized KNaTe2 structure.

abc: 8.0332 8.0332 8.0332
angles: 90.00 90.00 90.00
Closest atoms and distances in Å follow each position.
Space group Fm-3m (No. 225)
One atom of each set of equivalent atoms:
K 0.0000 0.0000 0.0000 x4  8 Te 3.48
Na 0.0000 0.0000 0.5000 x4  8 Te 3.48
Te 0.2500 0.2500 0.2500 x8  4 K 3.48, 4 Na 3.48

Computed properties:
ΔE_f (raw) (meV per atom): -533
Energy relative to the lowest polymorph listed for this composition (meV per atom): 184

[25]
VASP calculation (GGA-PBE) on a geometry-optimized K3Na4Te4 structure.

abc: 5.1179 8.5479 17.2875
angles: 90.00 90.00 90.00
Closest atoms and distances in Å follow each position.
Space group Immm (No. 71)
One atom of each set of equivalent atoms:
K 0.0000 0.0000 0.0000 x2  6 Te 3.62-3.83
K 0.0000 0.5000 0.1122 x4  6 Te 3.64-3.85, 6 Na 3.78-4.08, 1 K 3.88
Na 0.0000 0.3016 0.3265 x8  4 Te 3.12-3.18, 1 Na 3.39
Te 0.0000 0.0000 0.2214 x4  6 Na 3.15-3.18
Te 0.0000 0.2008 0.5000 x4  2 Na 3.12, 1 Te 3.43

Computed properties:
ΔE_f (raw) (meV per atom): -912

[26]
VASP calculation (GGA-PBE) on a geometry-optimized KNa2Te structure.

abc: 5.2198 5.2198 20.7199
angles: 90.00 90.00 120.00
Closest atoms and distances in Å follow each position.
Space group R3m (No. 160, hexagonal axes)
One atom of each set of equivalent atoms:
K 0.0000 0.0000 0.0000 x3  1 Te 3.77, 6 Na 3.86-3.97
Na 0.0000 0.0000 0.2089 x3  3 Te 3.24, 3 Na 3.57
Na 0.0000 0.0000 0.4500 x3  3 Te 3.10
Te 0.0000 0.0000 0.8179 x3  6 Na 3.10-3.24

Computed properties:
ΔE_f (raw) (meV per atom): -581

[27]
VASP calculation (GGA-PBE) on a geometry-optimized KNa2Te2 structure.

abc: 9.2485 9.2485 3.6074
angles: 90.00 90.00 90.00
Closest atoms and distances in Å follow each position.
Space group P4/mbm (No. 127)
One atom of each set of equivalent atoms:
K 0.0000 0.0000 0.0000 x2  2 K 3.61, 4 Na 3.68, 8 Te 3.86
Na 0.1216 0.3784 0.0000 x4  1 Na 3.18, 6 Te 3.21-3.32
Te 0.1753 0.6753 0.5000 x4  6 Na 3.21-3.32

Computed properties:
ΔE_f (raw) (meV per atom): -825

| no. | total DFT energy (no corrections) (eV per atom) |
| --- | --- |
| 1 | -1.6601 |
| 2 | -1.5361 |
| 3 | -1.3285 |
| 4 | -1.3588 |
| 5 | -4.6169 |
| 6 | -2.3473 |
| 7 | -2.4395 |
| 8 | -4.2806 |
| 9 | -1.7726 |
| 10 | -2.1291 |
| 11 | -1.6387 |
| 12 | -2.1819 |
| 13 | -2.3036 |
| 14 | -2.7690 |
| 15 | -1.7563 |
| 16 | -2.8276 |
| 17 | -1.9048 |
| 18 | -2.0540 |
| 19 | -2.8367 |
| 20 | -2.5070 |
| 21 | -2.1766 |
| 22 | -2.0070 |
| 23 | -2.8584 |
| 24 | -2.7079 |
| 25 | -2.8332 |
| 26 | -2.3008 |
| 27 | -2.8291 |